<1>
Pm6In2N: optimized geometry, PBE.

Cell: 3.574 15.080 9.396 Å, 90.00 90.00 90.00°
Space group Amm2 (No. 38)
Inequivalent atoms, fractional coordinates:
Pm  0.000  0.000  0.000
Pm  0.000  0.107  0.678
Pm  0.500  0.000  0.370
Pm  0.500  0.216  0.965
In  0.000  0.166  0.243
N  0.500  0.000  0.832

Its density of states at the Fermi level is 9.4 states/eV/f.u.

---

<2>
Pm6In2N: optimized geometry, PBE.

Cell: 10.027 10.027 10.027 Å, 90.00 90.00 90.00°
Space group Fm-3m (No. 225)
Inequivalent atoms, fractional coordinates:
Pm  0.000  0.000  0.244
In  0.250  0.250  0.250
N  0.000  0.000  0.000

Its density of states at the Fermi level is 5.9 states/eV/f.u.

---

Energetically preferred structure: <2> | next structure: +22.3 kJ/mol of atoms

---

<1>
Pm2InN: optimized geometry, PBE.

Cell: 3.6501 3.6501 24.4954 Å, 90.00 90.00 120.00°
Space group R-3m (No. 166, hexagonal axes)
Inequivalent atoms, fractional coordinates:
Pm  0.0000  0.0000  0.2232
In  0.0000  0.0000  0.0000
N  0.0000  0.0000  0.5000

Its density of states at the Fermi level is 4.0 states/eV/f.u.

---

<2>
Pm2InN: optimized geometry, PBE.

Cell: 3.188 3.188 8.220 Å, 90.00 90.00 90.00°
Space group P4/mmm (No. 123)
Inequivalent atoms, fractional coordinates:
Pm  0.000  0.000  0.180
In  0.500  0.500  0.500
N  0.500  0.500  0.000

Its density of states at the Fermi level is 3.0 states/eV/f.u.

---

Energetically preferred structure: <1> | next structure: +39.4 kJ/mol of atoms

---

<1>
Pr4In2N: optimized geometry, PBE.

Cell: 5.232 24.303 3.530 Å, 90.00 90.00 90.00°
Space group Cmmm (No. 65)
Inequivalent atoms, fractional coordinates:
Pr  0.000  0.068  0.000
Pr  0.000  0.204  0.500
In  0.000  0.339  0.000
N  0.000  0.000  0.500

Its density of states at the Fermi level is 6.4 states/eV/f.u.

---

<2>
Pr4In2N: optimized geometry, PBE.

Cell: 5.019 5.019 16.387 Å, 90.00 90.00 90.00°
Space group I4/mmm (No. 139)
Inequivalent atoms, fractional coordinates:
Pr  0.000  0.000  0.163
Pr  0.000  0.500  0.000
In  0.000  0.000  0.363
N  0.000  0.000  0.000

Its density of states at the Fermi level is 4.8 states/eV/f.u.

---

Energetically preferred structure: <2> | next structure: +23.1 kJ/mol of atoms

---

<1>
InPt3N: optimized geometry, PBE.

Cell: 5.039 5.039 5.039 Å, 90.00 90.00 90.00°
Space group Pm-3m (No. 221)
Inequivalent atoms, fractional coordinates:
In  0.000  0.000  0.000
Pt  0.000  0.000  0.500
N  0.500  0.500  0.500

Its density of states at the Fermi level is 4.3 states/eV/f.u.

---

<2>
InPt3N: optimized geometry, PBE.

Cell: 4.267 4.267 4.267 Å, 90.00 90.00 90.00°
Space group Pm-3m (No. 221)
Inequivalent atoms, fractional coordinates:
In  0.000  0.000  0.000
Pt  0.000  0.500  0.500
N  0.500  0.500  0.500

Its density of states at the Fermi level is 2.0 states/eV/f.u.

---

Energetically preferred structure: <2> | next structure: +178.4 kJ/mol of atoms

---

<1>
InPt2N: optimized geometry, PBE.

Cell: 5.001 5.001 11.997 Å, 90.00 90.00 90.00°
Space group I-42d (No. 122)
Inequivalent atoms, fractional coordinates:
In  0.000  0.000  0.000
Pt  0.110  0.250  0.625
N  0.000  0.000  0.500

Its density of states at the Fermi level is 1.1 states/eV/f.u.

---

<2>
InPt2N: optimized geometry, PBE.

Cell: 6.282 6.282 6.282 Å, 90.00 90.00 90.00°
Space group Fm-3m (No. 225)
Inequivalent atoms, fractional coordinates:
In  0.000  0.000  0.000
Pt  0.250  0.250  0.250
N  0.000  0.000  0.500

Its density of states at the Fermi level is 2.0 states/eV/f.u.

---

Energetically preferred structure: <1> | next structure: +70.3 kJ/mol of atoms

---

<1>
InPtSe2N: optimized geometry, PBE.

Cell: 5.334 5.334 3.694 Å, 90.00 90.00 90.00°
Space group P4/mmm (No. 123)
Inequivalent atoms, fractional coordinates:
In  0.000  0.000  0.000
Pt  0.500  0.500  0.500
Se  0.000  0.500  0.500
N  0.500  0.500  0.000

Its density of states at the Fermi level is 4.3 states/eV/f.u.

---

<2>
InPtSe2N: optimized geometry, PBE.

Cell: 4.491 4.491 4.385 Å, 90.00 90.00 90.00°
Space group P4/mmm (No. 123)
Inequivalent atoms, fractional coordinates:
In  0.000  0.000  0.000
Pt  0.500  0.500  0.000
Se  0.000  0.500  0.500
N  0.000  0.000  0.500

Its density of states at the Fermi level is 4.3 states/eV/f.u.

---

<3>
InPtSe2N: optimized geometry, PBE.

Cell: 5.304 5.304 4.032 Å, 90.00 90.00 90.00°
Space group P4/mmm (No. 123)
Inequivalent atoms, fractional coordinates:
In  0.000  0.000  0.000
Pt  0.500  0.500  0.500
Se  0.000  0.500  0.000
N  0.000  0.000  0.500

Its density of states at the Fermi level is 3.9 states/eV/f.u.

---

Energetically preferred structure: <1> | next structure: +40.3 kJ/mol of atoms

---

<1>
Sr2InPtN: optimized geometry, PBE.

Cell: 5.650 5.650 3.857 Å, 90.00 90.00 90.00°
Space group P4/mmm (No. 123)
Inequivalent atoms, fractional coordinates:
Sr  0.000  0.500  0.000
In  0.000  0.000  0.500
Pt  0.500  0.500  0.500
N  0.500  0.500  0.000

Its density of states at the Fermi level is 4.9 states/eV/f.u.

---

<2>
Sr2InPtN: optimized geometry, PBE.

Cell: 6.224 6.224 4.922 Å, 90.00 90.00 90.00°
Space group P4/mmm (No. 123)
Inequivalent atoms, fractional coordinates:
Sr  0.000  0.500  0.000
In  0.000  0.000  0.000
Pt  0.000  0.000  0.500
N  0.500  0.500  0.500

Its density of states at the Fermi level is 3.7 states/eV/f.u.

---

Energetically preferred structure: <1> | next structure: +125.5 kJ/mol of atoms

---

<1>
RbInS2N: optimized geometry, PBE.

Cell: 6.012 6.012 5.399 Å, 90.00 90.00 90.00°
Space group P4/mmm (No. 123)
Inequivalent atoms, fractional coordinates:
Rb  0.000  0.000  0.000
In  0.500  0.500  0.500
S  0.000  0.500  0.000
N  0.000  0.000  0.500

Its density of states at the Fermi level is 5.0 states/eV/f.u.

---

<2>
RbInS2N: optimized geometry, PBE.

Cell: 5.368 5.368 4.518 Å, 90.00 90.00 90.00°
Space group P4/mmm (No. 123)
Inequivalent atoms, fractional coordinates:
Rb  0.000  0.000  0.000
In  0.500  0.500  0.500
S  0.000  0.500  0.500
N  0.500  0.500  0.000

Its density of states at the Fermi level is 3.7 states/eV/f.u.

---

Energetically preferred structure: <2> | next structure: +101.8 kJ/mol of atoms